1.
# NaPRhCl2 | Alexandria | PBE-GGA | relaxed
# Energy above the lowest structure with this stoichiometry, meV/atom: 1236
# Formation energy without anion corrections, eV/atom: 0.79
# Size of the total moment, Bohr magnetons per cell: 3.93
data_NaPRhCl2
_chemical_formula_sum 'Na1 P1 Rh1 Cl2'
_symmetry_space_group_name_H-M 'P 1'
_symmetry_Int_Tables_number 1
_cell_length_a 4.850
_cell_length_b 4.850
_cell_length_c 5.348
_cell_angle_alpha 90.00
_cell_angle_beta 90.00
_cell_angle_gamma 90.00
loop_
_symmetry_equiv_pos_as_xyz
'x,y,z'
loop_
_atom_site_label
_atom_site_fract_x
_atom_site_fract_y
_atom_site_fract_z
_atom_site_occupancy
Na1 0.000 0.000 0.000 1
P1 0.000 0.000 0.500 1
Rh1 0.500 0.500 0.500 1
Cl1 0.000 0.500 0.000 1
Cl2 0.500 0.000 0.000 1

2.
# NaPRuCl2 | Alexandria | PBE-GGA | relaxed
# Energy above the lowest structure with this stoichiometry, meV/atom: 1299
# Formation energy without anion corrections, eV/atom: 0.95
# Size of the total moment, Bohr magnetons per cell: 3.63
data_NaPRuCl2
_chemical_formula_sum 'Na1 P1 Ru1 Cl2'
_symmetry_space_group_name_H-M 'P 1'
_symmetry_Int_Tables_number 1
_cell_length_a 4.750
_cell_length_b 4.750
_cell_length_c 5.391
_cell_angle_alpha 90.00
_cell_angle_beta 90.00
_cell_angle_gamma 90.00
loop_
_symmetry_equiv_pos_as_xyz
'x,y,z'
loop_
_atom_site_label
_atom_site_fract_x
_atom_site_fract_y
_atom_site_fract_z
_atom_site_occupancy
Na1 0.000 0.000 0.000 1
P1 0.000 0.000 0.500 1
Ru1 0.500 0.500 0.500 1
Cl1 0.000 0.500 0.000 1
Cl2 0.500 0.000 0.000 1

3.
# NaPRuCl2 | Alexandria | PBE-GGA | relaxed
# Energy above the lowest structure with this stoichiometry, meV/atom: 0
# Formation energy without anion corrections, eV/atom: -0.35
# Size of the total moment, Bohr magnetons per cell: 0.00
data_NaPRuCl2
_chemical_formula_sum 'Na1 P1 Ru1 Cl2'
_symmetry_space_group_name_H-M 'P 1'
_symmetry_Int_Tables_number 1
_cell_length_a 5.098
_cell_length_b 5.098
_cell_length_c 4.423
_cell_angle_alpha 90.00
_cell_angle_beta 90.00
_cell_angle_gamma 90.00
loop_
_symmetry_equiv_pos_as_xyz
'x,y,z'
loop_
_atom_site_label
_atom_site_fract_x
_atom_site_fract_y
_atom_site_fract_z
_atom_site_occupancy
Na1 0.000 0.000 0.000 1
P1 0.500 0.500 0.000 1
Ru1 0.500 0.500 0.500 1
Cl1 0.000 0.500 0.500 1
Cl2 0.500 0.000 0.500 1